VASP calculation (GGA-PBEsol) on ScTaBi3 after structural relaxation.

Lattice parameters (Å, degrees): 5.3911 5.3911 5.3911 90.00 90.00 90.00
With the nearest neighbours (Å) after each atom.
Sites, in units of the cell vectors:
Sc1 0.0000 0.0000 0.0000  6 Bi 2.70
Ta1 0.5000 0.5000 0.5000  12 Bi 3.81
Bi1 0.0000 0.0000 0.5000  2 Sc 2.70
Bi2 0.0000 0.5000 0.0000  2 Sc 2.70
Bi3 0.5000 0.0000 0.0000  2 Sc 2.70

For the energy, the calculation gives -26.25 eV per cell.


VASP calculation (GGA-PBEsol) on Mo2P3O13 after structural relaxation.

Lattice parameters (Å, degrees): 6.3344 18.9793 9.7874 90.00 106.84 90.00
With the nearest neighbours (Å) after each atom.
Sites, in units of the cell vectors:
Mo1 0.0650 0.0000 0.3851  1 O 1.65
Mo2 0.1363 0.7128 0.0656  1 O 1.66
Mo3 0.3628 0.0334 0.9330  1 O 1.66
Mo4 0.4336 0.7459 0.6132  1 O 1.65
Mo5 0.5664 0.2459 0.3868  1 O 1.65
Mo6 0.6372 0.5334 0.0670  1 O 1.66
Mo7 0.8637 0.2128 0.9344  1 O 1.66
Mo8 0.9350 0.5000 0.6149  1 O 1.65
P1 0.0186 0.2825 0.2953  4 O 1.50-1.61
P2 0.0925 0.5486 0.9637  4 O 1.53-1.54
P3 0.2376 0.9072 0.6920  4 O 1.50-1.61
P4 0.2614 0.8388 0.3065  4 O 1.50-1.61
P5 0.4085 0.1973 0.0374  4 O 1.53-1.54
P6 0.4825 0.4635 0.7064  4 O 1.50-1.61
P7 0.5175 0.9635 0.2936  4 O 1.50-1.61
P8 0.5915 0.6973 0.9626  4 O 1.53-1.54
P9 0.7386 0.3388 0.6935  4 O 1.50-1.61
P10 0.7624 0.4072 0.3080  4 O 1.50-1.61
P11 0.9075 0.0486 0.0363  4 O 1.53-1.54
P12 0.9814 0.7825 0.7047  4 O 1.50-1.61
O1 0.0149 0.8657 0.6885  2 P 1.61
O2 0.0355 0.5093 0.8211  1 P 1.53
O3 0.0393 0.7652 0.8610  1 P 1.50
O4 0.0644 0.0847 0.4251  1 Mo 1.65
O5 0.0652 0.0254 0.9523  1 P 1.53
O6 0.0782 0.6287 0.9360  1 P 1.54
O7 0.0987 0.8891 0.3387  1 P 1.50
O8 0.1256 0.7452 0.6244  1 P 1.54
O9 0.1627 0.9669 0.5838  1 P 1.53
O10 0.1769 0.2192 0.9482  1 P 1.53
O11 0.1775 0.8065 0.1567  1 P 1.54
O12 0.2060 0.6643 0.2125  1 Mo 1.66
O13 0.2404 0.4758 0.6231  1 P 1.53
O14 0.2608 0.2702 0.3781  1 P 1.53
O15 0.2926 0.0822 0.7865  1 Mo 1.66
O16 0.3213 0.9397 0.8416  1 P 1.54
O17 0.3241 0.5271 0.0538  1 P 1.53
O18 0.3364 0.7791 0.4145  1 P 1.53
O19 0.3727 0.0009 0.3733  1 P 1.54
O20 0.4003 0.8568 0.6601  1 P 1.50
O21 0.4219 0.1171 0.0637  1 P 1.54
O22 0.4341 0.6613 0.5726  1 Mo 1.65
O23 0.4341 0.7208 0.0467  1 P 1.53
O24 0.4605 0.9806 0.1373  1 P 1.50
O25 0.4668 0.2360 0.1807  1 P 1.53
O26 0.4840 0.8803 0.3101  2 P 1.61
O27 0.5160 0.3803 0.6899  2 P 1.61
O28 0.5332 0.7360 0.8193  1 P 1.53
O29 0.5395 0.4806 0.8627  1 P 1.50
O30 0.5659 0.1613 0.4274  1 Mo 1.65
O31 0.5659 0.2208 0.9533  1 P 1.53
O32 0.5781 0.6171 0.9363  1 P 1.54
O33 0.5997 0.3568 0.3399  1 P 1.50
O34 0.6273 0.5009 0.6267  1 P 1.54
O35 0.6636 0.2791 0.5855  1 P 1.53
O36 0.6759 0.0271 0.9462  1 P 1.53
O37 0.6787 0.4397 0.1584  1 P 1.54
O38 0.7074 0.5822 0.2135  1 Mo 1.66
O39 0.7392 0.7702 0.6219  1 P 1.53
O40 0.7596 0.9758 0.3769  1 P 1.53
O41 0.7940 0.1643 0.7875  1 Mo 1.66
O42 0.8225 0.3065 0.8433  1 P 1.54
O43 0.8231 0.7192 0.0518  1 P 1.53
O44 0.8373 0.4669 0.4162  1 P 1.53
O45 0.8744 0.2452 0.3756  1 P 1.54
O46 0.9013 0.3891 0.6613  1 P 1.50
O47 0.9218 0.1287 0.0640  1 P 1.54
O48 0.9348 0.5254 0.0477  1 P 1.53
O49 0.9356 0.5847 0.5749  1 Mo 1.65
O50 0.9607 0.2652 0.1390  1 P 1.50
O51 0.9645 0.0093 0.1789  1 P 1.53
O52 0.9851 0.3657 0.3115  2 P 1.61

The value obtained for the formation energy without anion corrections is -2.08 eV/atom. As for the energy relative to the lowest polymorph listed for this composition: 0.000 eV per atom. For the energy, the calculation gives -586.24 eV per cell.


VASP calculation (GGA-PBEsol) on TlZnC3 after structural relaxation.

Lattice parameters (Å, degrees): 4.0408 4.0408 4.0408 90.00 90.00 90.00
With the nearest neighbours (Å) after each atom.
Sites, in units of the cell vectors:
Tl1 0.0000 0.0000 0.0000  12 C 2.86
Zn1 0.5000 0.5000 0.5000  6 C 2.02
C1 0.0000 0.5000 0.5000  2 Zn 2.02
C2 0.5000 0.0000 0.5000  2 Zn 2.02
C3 0.5000 0.5000 0.0000  2 Zn 2.02

For the energy, the calculation gives -19.33 eV per cell.


VASP calculation (GGA-PBEsol) on YSI2N after structural relaxation.

Lattice parameters (Å, degrees): 5.8675 5.8675 3.4627 90.00 90.00 90.00
With the nearest neighbours (Å) after each atom.
Sites, in units of the cell vectors:
Y1 0.0000 0.0000 0.0000  8 I 3.41, 2 Y 3.46
S1 0.5000 0.5000 0.5000  2 N 1.73
I1 0.0000 0.5000 0.5000  2 S 2.93
I2 0.5000 0.0000 0.5000  2 S 2.93
N1 0.5000 0.5000 0.0000  2 S 1.73

The value obtained for the formation energy without anion corrections is 0.24 eV/atom. For the energy, the calculation gives -22.08 eV per cell.


> Which formula does entry 3 have?

TlZnC3


> Which formula does entry 2 have?

Mo2P3O13